Record 1
# In2HgCl

A PBEsol-optimized structure of In2HgCl (meta-GGA SCAN, the Alexandria database). Values from VASP.

Output
calculated volume: 24.8 Å³ per atom
crystal system: monoclinic
size of the total moment: 0.00 μB/atom
relative energy among the computed polymorphs: 19 meV per atom

Cell and atoms, written as Quantum ESPRESSO input:
```
&SYSTEM
  ibrav = 0, nat = 4, ntyp = 3
/
ATOMIC_SPECIES
In 114.82 In.upf
Hg 200.59 Hg.upf
Cl 35.45 Cl.upf
CELL_PARAMETERS angstrom
3.3737 0.0000 0.0000
0.0000 5.0729 0.0000
-0.6916 0.0000 5.7849
ATOMIC_POSITIONS angstrom
In 0.0000 0.0000 0.0000
In 1.3246 2.5364 2.8919
Hg 3.0110 0.0000 2.8908
Cl 0.9922 2.5364 5.7815
```

=====

Record 2
# MnInPd3

A PBEsol-optimized structure of MnInPd3 (meta-GGA SCAN, the Alexandria database). Values from VASP.

Output
E_form: 1.867 eV per formula unit
calculated volume: 19.3 Å³ per atom
crystal system: cubic
size of the total moment: 0.96 μB/atom

Cell and atoms, written as Quantum ESPRESSO input:
```
&SYSTEM
  ibrav = 0, nat = 5, ntyp = 3
/
ATOMIC_SPECIES
Mn 54.94 Mn.upf
In 114.82 In.upf
Pd 106.42 Pd.upf
CELL_PARAMETERS angstrom
4.5859 0.0000 0.0000
0.0000 4.5859 0.0000
0.0000 0.0000 4.5859
ATOMIC_POSITIONS angstrom
Mn 0.0000 0.0000 0.0000
In 2.2930 2.2930 2.2930
Pd 0.0000 0.0000 2.2930
Pd 0.0000 2.2930 0.0000
Pd 2.2930 0.0000 0.0000
```

=====

Record 3
# NaLi3Pb

A PBEsol-optimized structure of NaLi3Pb (meta-GGA SCAN, the Alexandria database). Values from VASP.

Output
E_form: -0.735 eV per formula unit
calculated volume: 28.9 Å³ per atom
crystal system: cubic
size of the total moment: 0.00 μB/atom

Cell and atoms, written as Quantum ESPRESSO input:
```
&SYSTEM
  ibrav = 0, nat = 5, ntyp = 3
/
ATOMIC_SPECIES
Na 22.99 Na.upf
Li 6.94 Li.upf
Pb 207.20 Pb.upf
CELL_PARAMETERS angstrom
5.2488 0.0000 0.0000
0.0000 5.2488 0.0000
0.0000 0.0000 5.2488
ATOMIC_POSITIONS angstrom
Na 0.0000 0.0000 0.0000
Li 0.0000 2.6244 2.6244
Li 2.6244 0.0000 2.6244
Li 2.6244 2.6244 0.0000
Pb 2.6244 2.6244 2.6244
```

=====

Record 4
# K3NaBr

A PBEsol-optimized structure of K3NaBr (meta-GGA SCAN, the Alexandria database). Values from VASP.

Output
calculated volume: 53.0 Å³ per atom
crystal system: cubic
size of the total moment: 0.07 μB/atom
total DFT energy (no corrections): -10.437 eV/atom

Cell and atoms, written as Quantum ESPRESSO input:
```
&SYSTEM
  ibrav = 0, nat = 5, ntyp = 3
/
ATOMIC_SPECIES
K 39.10 K.upf
Na 22.99 Na.upf
Br 79.90 Br.upf
CELL_PARAMETERS angstrom
6.4227 0.0000 0.0000
0.0000 6.4227 0.0000
0.0000 0.0000 6.4227
ATOMIC_POSITIONS angstrom
K 0.0000 0.0000 3.2113
K 0.0000 3.2113 0.0000
K 3.2113 0.0000 0.0000
Na 3.2113 3.2113 3.2113
Br 0.0000 0.0000 0.0000
```

=====

Record 5
# ScMoSe2

A PBEsol-optimized structure of ScMoSe2 (meta-GGA SCAN, the Alexandria database). Values from VASP.

Output
calculated volume: 17.0 Å³ per atom
crystal system: monoclinic
size of the total moment: 0.00 μB/atom
relative energy among the computed polymorphs: 0 meV per atom

Cell and atoms, written as Quantum ESPRESSO input:
```
&SYSTEM
  ibrav = 0, nat = 4, ntyp = 3
/
ATOMIC_SPECIES
Sc 44.96 Sc.upf
Mo 95.94 Mo.upf
Se 78.96 Se.upf
CELL_PARAMETERS angstrom
4.6152 -1.6323 0.0000
4.6152 1.6323 0.0000
-0.8884 0.0000 4.5251
ATOMIC_POSITIONS angstrom
Sc 0.0000 0.0000 0.0000
Mo 6.8160 0.0000 1.8203
Se 1.6940 0.0000 3.9949
Se 4.1703 0.0000 2.2300
```

=====

Record 6
# IrRu2Rh

A PBEsol-optimized structure of IrRu2Rh (meta-GGA SCAN, the Alexandria database). Values from VASP.

Output
E_form: -0.018 eV per formula unit
calculated volume: 13.5 Å³ per atom
crystal system: orthorhombic
size of the total moment: 0.00 μB/atom
relative energy among the computed polymorphs: 0 meV per atom

Cell and atoms, written as Quantum ESPRESSO input:
```
&SYSTEM
  ibrav = 0, nat = 4, ntyp = 3
/
ATOMIC_SPECIES
Ir 192.22 Ir.upf
Ru 101.07 Ru.upf
Rh 102.91 Rh.upf
CELL_PARAMETERS angstrom
2.6668 -3.7997 0.0000
2.6668 3.7997 0.0000
0.0000 0.0000 2.6676
ATOMIC_POSITIONS angstrom
Ir 0.0000 0.0000 0.0000
Ru 1.3334 1.8999 1.3338
Ru 1.3334 -1.8999 1.3338
Rh 2.6668 0.0000 0.0000
```

=====

Record 7
# CaFe2AuSe

A PBEsol-optimized structure of CaFe2AuSe (meta-GGA SCAN, the Alexandria database). Values from VASP.

Output
calculated volume: 20.6 Å³ per atom
crystal system: tetragonal
size of the total moment: 0.37 μB/atom
total DFT energy (no corrections): -25.326 eV/atom

Cell and atoms, written as Quantum ESPRESSO input:
```
&SYSTEM
  ibrav = 0, nat = 5, ntyp = 4
/
ATOMIC_SPECIES
Ca 40.08 Ca.upf
Fe 55.84 Fe.upf
Au 196.97 Au.upf
Se 78.96 Se.upf
CELL_PARAMETERS angstrom
4.5218 0.0000 0.0000
0.0000 4.5218 0.0000
0.0000 0.0000 5.0351
ATOMIC_POSITIONS angstrom
Ca 0.0000 0.0000 0.0000
Fe 0.0000 2.2609 0.0000
Fe 2.2609 0.0000 0.0000
Au 2.2609 2.2609 2.5175
Se 0.0000 0.0000 2.5175
```

=====

Record 8
# LiMnVO4

A PBEsol-optimized structure of LiMnVO4 (meta-GGA SCAN, the Alexandria database). Values from VASP.

Output
calculated volume: 10.9 Å³ per atom
crystal system: orthorhombic
size of the total moment: 0.71 μB/atom
relative energy among the computed polymorphs: 0 meV per atom

Cell and atoms, written as Quantum ESPRESSO input:
```
&SYSTEM
  ibrav = 0, nat = 14, ntyp = 4
/
ATOMIC_SPECIES
Li 6.94 Li.upf
Mn 54.94 Mn.upf
V 50.94 V.upf
O 16.00 O.upf
CELL_PARAMETERS angstrom
2.8532 -4.2737 0.0000
2.8532 4.2737 0.0000
0.0000 0.0000 6.2602
ATOMIC_POSITIONS angstrom
Li 2.8532 2.8613 4.6952
Li 2.8532 -2.8613 1.5651
Mn 2.8532 0.0000 0.0000
Mn 2.8532 0.0000 3.1301
V 2.8532 3.0293 1.5651
V 2.8532 -3.0293 4.6952
O 1.3868 0.1665 4.6952
O 1.3868 -0.1665 1.5651
O 2.8532 2.0355 0.1768
O 2.8532 2.0355 2.9533
O 2.8532 -2.0355 3.3070
O 2.8532 -2.0355 6.0834
O 4.3196 0.1665 4.6952
O 4.3196 -0.1665 1.5651
```

=====

Record 9
# Mo2PtCl

A PBEsol-optimized structure of Mo2PtCl (meta-GGA SCAN, the Alexandria database). Values from VASP.

Output
calculated volume: 15.4 Å³ per atom
crystal system: cubic
size of the total moment: 0.27 μB/atom
relative energy among the computed polymorphs: 502 meV per atom

Cell and atoms, written as Quantum ESPRESSO input:
```
&SYSTEM
  ibrav = 0, nat = 4, ntyp = 3
/
ATOMIC_SPECIES
Mo 95.94 Mo.upf
Pt 195.08 Pt.upf
Cl 35.45 Cl.upf
CELL_PARAMETERS angstrom
0.0000 3.1373 3.1373
3.1373 0.0000 3.1373
3.1373 3.1373 0.0000
ATOMIC_POSITIONS angstrom
Mo 0.0000 0.0000 0.0000
Mo 1.5687 1.5687 1.5687
Pt 3.1373 3.1373 3.1373
Cl 4.7060 4.7060 4.7060
```

=====

Record 10
# Be2ZnNi2

A PBEsol-optimized structure of Be2ZnNi2 (meta-GGA SCAN, the Alexandria database). Values from VASP.

Output
E_form: -1.891 eV per formula unit
calculated volume: 9.6 Å³ per atom
crystal system: tetragonal
size of the total moment: 0.00 μB/atom

Cell and atoms, written as Quantum ESPRESSO input:
```
&SYSTEM
  ibrav = 0, nat = 10, ntyp = 3
/
ATOMIC_SPECIES
Be 9.01 Be.upf
Zn 65.41 Zn.upf
Ni 58.69 Ni.upf
CELL_PARAMETERS angstrom
6.1716 0.0000 0.0000
0.0000 6.1716 0.0000
0.0000 0.0000 2.5310
ATOMIC_POSITIONS angstrom
Be 0.7795 2.3063 0.0000
Be 2.3063 5.3921 0.0000
Be 3.8652 0.7795 0.0000
Be 5.3921 3.8652 0.0000
Zn 0.0000 0.0000 0.0000
Zn 3.0858 3.0858 0.0000
Ni 1.0229 4.1087 1.2655
Ni 2.0629 1.0229 1.2655
Ni 4.1087 5.1487 1.2655
Ni 5.1487 2.0629 1.2655
```

=====

Record 11
# Sr2AlCr

A PBEsol-optimized structure of Sr2AlCr (meta-GGA SCAN, the Alexandria database). Values from VASP.

Output
E_form: 1.954 eV per formula unit
calculated volume: 32.3 Å³ per atom
crystal system: trigonal
size of the total moment: 1.26 μB/atom

Cell and atoms, written as Quantum ESPRESSO input:
```
&SYSTEM
  ibrav = 0, nat = 4, ntyp = 3
/
ATOMIC_SPECIES
Sr 87.62 Sr.upf
Al 26.98 Al.upf
Cr 52.00 Cr.upf
CELL_PARAMETERS angstrom
1.9137 1.1049 10.1806
-1.9137 1.1049 10.1806
0.0000 -2.2098 10.1806
ATOMIC_POSITIONS angstrom
Sr 0.0000 0.0000 7.5820
Sr 0.0000 0.0000 22.9597
Al 0.0000 0.0000 15.2709
Cr 0.0000 0.0000 0.0000
```

=====

Record 12
# LiAu5

A PBEsol-optimized structure of LiAu5 (meta-GGA SCAN, the Alexandria database). Values from VASP.

Output
E_form: -1.370 eV per formula unit
calculated volume: 16.4 Å³ per atom
crystal system: orthorhombic
size of the total moment: 0.00 μB/atom
relative energy among the computed polymorphs: 54 meV per atom

Cell and atoms, written as Quantum ESPRESSO input:
```
&SYSTEM
  ibrav = 0, nat = 6, ntyp = 2
/
ATOMIC_SPECIES
Li 6.94 Li.upf
Au 196.97 Au.upf
CELL_PARAMETERS angstrom
4.6968 0.0000 0.0000
0.0000 1.4283 7.3533
0.0000 -1.4283 7.3533
ATOMIC_POSITIONS angstrom
Li 0.0000 0.0000 0.0000
Au 0.0000 0.0000 4.9781
Au 0.0000 0.0000 9.7339
Au 2.3484 0.0000 3.2330
Au 2.3484 0.0000 8.1268
Au 2.3484 0.0000 13.0791
```

=====

Record 13
# Al2ReC2

A PBEsol-optimized structure of Al2ReC2 (meta-GGA SCAN, the Alexandria database). Values from VASP.

Output
E_form: 7.185 eV per formula unit
calculated volume: 10.8 Å³ per atom
crystal system: tetragonal
size of the total moment: 0.00 μB/atom

Cell and atoms, written as Quantum ESPRESSO input:
```
&SYSTEM
  ibrav = 0, nat = 10, ntyp = 3
/
ATOMIC_SPECIES
Al 26.98 Al.upf
Re 186.21 Re.upf
C 12.01 C.upf
CELL_PARAMETERS angstrom
6.2360 0.0000 0.0000
0.0000 6.2360 0.0000
0.0000 0.0000 2.7777
ATOMIC_POSITIONS angstrom
Al 0.8510 2.2670 0.0000
Al 2.2670 5.3849 0.0000
Al 3.9690 0.8510 0.0000
Al 5.3849 3.9690 0.0000
Re 0.0000 0.0000 0.0000
Re 3.1180 3.1180 0.0000
C 1.1155 4.2335 1.3888
C 2.0024 1.1155 1.3888
C 4.2335 5.1204 1.3888
C 5.1204 2.0024 1.3888
```

=====

Record 14
# BaTaAs2

A PBEsol-optimized structure of BaTaAs2 (meta-GGA SCAN, the Alexandria database). Values from VASP.

Output
E_form: -2.689 eV per formula unit
calculated volume: 23.9 Å³ per atom
crystal system: trigonal
size of the total moment: 0.00 μB/atom
relative energy among the computed polymorphs: 0 meV per atom

Cell and atoms, written as Quantum ESPRESSO input:
```
&SYSTEM
  ibrav = 0, nat = 4, ntyp = 3
/
ATOMIC_SPECIES
Ba 137.33 Ba.upf
Ta 180.95 Ta.upf
As 74.92 As.upf
CELL_PARAMETERS angstrom
1.9370 1.1183 7.3541
-1.9370 1.1183 7.3541
0.0000 -2.2366 7.3541
ATOMIC_POSITIONS angstrom
Ba 0.0000 0.0000 0.0000
Ta 0.0000 0.0000 11.0312
As 0.0000 0.0000 5.1060
As 0.0000 0.0000 16.9563
```

=====

Record 15
# TaTlMo2

A PBEsol-optimized structure of TaTlMo2 (meta-GGA SCAN, the Alexandria database). Values from VASP.

Output
E_form: 1.270 eV per formula unit
calculated volume: 17.5 Å³ per atom
crystal system: tetragonal
size of the total moment: 0.00 μB/atom
relative energy among the computed polymorphs: 0 meV per atom

Cell and atoms, written as Quantum ESPRESSO input:
```
&SYSTEM
  ibrav = 0, nat = 4, ntyp = 3
/
ATOMIC_SPECIES
Ta 180.95 Ta.upf
Tl 204.38 Tl.upf
Mo 95.94 Mo.upf
CELL_PARAMETERS angstrom
3.3967 0.0000 0.0000
0.0000 3.3967 0.0000
0.0000 0.0000 6.0813
ATOMIC_POSITIONS angstrom
Ta 0.0000 0.0000 0.0000
Tl 0.0000 0.0000 3.0407
Mo 1.6984 1.6984 1.3269
Mo 1.6984 1.6984 4.7544
```

=====

Record 16
# HfBF2

A PBEsol-optimized structure of HfBF2 (meta-GGA SCAN, the Alexandria database). Values from VASP.

Output
calculated volume: 11.5 Å³ per atom
crystal system: tetragonal
size of the total moment: 0.19 μB/atom
total DFT energy (no corrections): -20.818 eV/atom

Cell and atoms, written as Quantum ESPRESSO input:
```
&SYSTEM
  ibrav = 0, nat = 8, ntyp = 3
/
ATOMIC_SPECIES
Hf 178.49 Hf.upf
B 10.81 B.upf
F 19.00 F.upf
CELL_PARAMETERS angstrom
-1.7573 1.7573 7.4313
1.7573 -1.7573 7.4313
1.7573 1.7573 -7.4313
ATOMIC_POSITIONS angstrom
Hf 0.0000 0.0000 0.0000
Hf 0.0000 1.7573 3.7156
B 1.7573 0.0000 3.7156
B 0.0000 0.0000 7.4313
F 2.6360 0.7462 -1.8578
F 0.7462 0.8787 1.8578
F -0.8787 1.0111 5.5735
F 1.0111 0.8787 9.2891
```

=====

Record 17
# MgBrCl2

A PBEsol-optimized structure of MgBrCl2 (meta-GGA SCAN, the Alexandria database). Values from VASP.

Output
calculated volume: 26.0 Å³ per atom
crystal system: trigonal
size of the total moment: 0.23 μB/atom
relative energy among the computed polymorphs: 0 meV per atom

Cell and atoms, written as Quantum ESPRESSO input:
```
&SYSTEM
  ibrav = 0, nat = 4, ntyp = 3
/
ATOMIC_SPECIES
Mg 24.30 Mg.upf
Br 79.90 Br.upf
Cl 35.45 Cl.upf
CELL_PARAMETERS angstrom
1.7218 0.9941 10.1343
-1.7218 0.9941 10.1343
0.0000 -1.9882 10.1343
ATOMIC_POSITIONS angstrom
Mg 0.0000 0.0000 0.0000
Br 0.0000 0.0000 15.2014
Cl 0.0000 0.0000 8.6961
Cl 0.0000 0.0000 21.7068
```

=====

Record 18
# Rb3CuBr

A PBEsol-optimized structure of Rb3CuBr (meta-GGA SCAN, the Alexandria database). Values from VASP.

Output
calculated volume: 53.4 Å³ per atom
crystal system: cubic
size of the total moment: 0.00 μB/atom
total DFT energy (no corrections): -19.723 eV/atom

Cell and atoms, written as Quantum ESPRESSO input:
```
&SYSTEM
  ibrav = 0, nat = 5, ntyp = 3
/
ATOMIC_SPECIES
Rb 85.47 Rb.upf
Cu 63.55 Cu.upf
Br 79.90 Br.upf
CELL_PARAMETERS angstrom
6.4390 0.0000 0.0000
0.0000 6.4390 0.0000
0.0000 0.0000 6.4390
ATOMIC_POSITIONS angstrom
Rb 0.0000 0.0000 3.2195
Rb 0.0000 3.2195 0.0000
Rb 3.2195 0.0000 0.0000
Cu 3.2195 3.2195 3.2195
Br 0.0000 0.0000 0.0000
```

=====

Record 19
# CoRh5

A PBEsol-optimized structure of CoRh5 (meta-GGA SCAN, the Alexandria database). Values from VASP.

Output
E_form: 0.214 eV per formula unit
calculated volume: 13.0 Å³ per atom
crystal system: monoclinic
size of the total moment: 0.55 μB/atom

Cell and atoms, written as Quantum ESPRESSO input:
```
&SYSTEM
  ibrav = 0, nat = 6, ntyp = 2
/
ATOMIC_SPECIES
Co 58.93 Co.upf
Rh 102.91 Rh.upf
CELL_PARAMETERS angstrom
4.5700 0.0000 0.0000
0.0000 2.6481 0.0000
-0.0272 0.0000 6.4482
ATOMIC_POSITIONS angstrom
Co 0.0000 0.0000 0.0000
Rh 0.7380 1.3241 2.1017
Rh 1.4969 0.0000 4.3121
Rh 2.2850 1.3241 0.0000
Rh 3.0459 0.0000 2.1361
Rh 3.8048 1.3241 4.3465
```

=====

Record 20
# MgRe2O8

A PBEsol-optimized structure of MgRe2O8 (meta-GGA SCAN, the Alexandria database). Values from VASP.

Output
calculated volume: 16.7 Å³ per atom
crystal system: trigonal
size of the total moment: 0.00 μB/atom
relative energy among the computed polymorphs: 0 meV per atom

Cell and atoms, written as Quantum ESPRESSO input:
```
&SYSTEM
  ibrav = 0, nat = 11, ntyp = 3
/
ATOMIC_SPECIES
Mg 24.30 Mg.upf
Re 186.21 Re.upf
O 16.00 O.upf
CELL_PARAMETERS angstrom
5.7594 0.0000 0.0000
-2.8797 4.9878 0.0000
0.0000 0.0000 6.4135
ATOMIC_POSITIONS angstrom
Mg 0.0000 0.0000 0.0000
Re 0.0000 3.3252 1.7683
Re 2.8797 1.6626 4.6451
O 0.0000 1.6798 1.1852
O -1.4250 4.1479 1.1852
O 0.0000 3.3252 3.4953
O 1.4548 0.8399 5.2283
O 1.4250 4.1479 1.1852
O 2.8797 1.6626 2.9181
O 4.3047 0.8399 5.2283
O 2.8797 3.3080 5.2283
```